Material: Pa2TlCoO8
Method: DFT, PBE with a Hubbard U
State: optimized geometry

- electronic total energy (eV/atom) = -7.608

Unit cell a=5.0658 b=5.0658 c=8.2034 alpha=90.00 beta=90.00 gamma=120.00
Space group P-3m1 (No. 164)
Unique sites:
Pa 0.3333 0.6667 0.3664 (multiplicity 2)
Tl 0.0000 0.0000 0.0000 (multiplicity 1)
Co 0.0000 0.0000 0.5000 (multiplicity 1)
O 0.1724 0.3449 0.6248 (multiplicity 6)
O 0.3333 0.6667 0.1363 (multiplicity 2)